<a>
# Li2LaZn2 PBE relaxed
data_Li2LaZn2
_chemical_formula_sum 'Li4 La2 Zn4'
_symmetry_space_group_name_H-M 'P 1'
_symmetry_Int_Tables_number 1
_cell_length_a 8.062
_cell_length_b 8.062
_cell_length_c 3.042
_cell_angle_alpha 90.00
_cell_angle_beta 90.00
_cell_angle_gamma 90.00
loop_
_symmetry_equiv_pos_as_xyz
'x,y,z'
loop_
_atom_site_label
_atom_site_type_symbol
_atom_site_fract_x
_atom_site_fract_y
_atom_site_fract_z
Zn1 Zn 0.678 0.822 0.500
Zn2 Zn 0.822 0.322 0.500
Zn3 Zn 0.178 0.678 0.500
Zn4 Zn 0.322 0.178 0.500
La1 La 0.000 0.000 0.000
La2 La 0.500 0.500 0.000
Li1 Li 0.884 0.616 0.000
Li2 Li 0.116 0.384 0.000
Li3 Li 0.384 0.884 0.000
Li4 Li 0.616 0.116 0.000
# **Total magnetization**: 0.0 Bohr magnetons per cell
# **Space group**: No. 127
# **D(E_F)**: 0.654 states/eV per atom


<b>
# Li2LaZn2 PBE relaxed
data_Li2LaZn2
_chemical_formula_sum 'Li2 La1 Zn2'
_symmetry_space_group_name_H-M 'P 1'
_symmetry_Int_Tables_number 1
_cell_length_a 4.031
_cell_length_b 4.031
_cell_length_c 7.195
_cell_angle_alpha 73.73
_cell_angle_beta 73.73
_cell_angle_gamma 90.00
loop_
_symmetry_equiv_pos_as_xyz
'x,y,z'
loop_
_atom_site_label
_atom_site_type_symbol
_atom_site_fract_x
_atom_site_fract_y
_atom_site_fract_z
Zn1 Zn 0.609 0.609 0.783
Zn2 Zn 0.391 0.391 0.217
La1 La 0.000 0.000 0.000
Li1 Li 0.250 0.750 0.500
Li2 Li 0.750 0.250 0.500
# **Total magnetization**: 0.2 Bohr magnetons per cell
# **Space group**: No. 139
# **D(E_F)**: 0.688 states/eV per atom


Which structure wins on stability? <b> wins.


<a>
# Li2LaZn2 PBE relaxed
data_Li2LaZn2
_chemical_formula_sum 'Li4 La2 Zn4'
_symmetry_space_group_name_H-M 'P 1'
_symmetry_Int_Tables_number 1
_cell_length_a 7.968
_cell_length_b 7.968
_cell_length_c 3.292
_cell_angle_alpha 90.00
_cell_angle_beta 90.00
_cell_angle_gamma 90.00
loop_
_symmetry_equiv_pos_as_xyz
'x,y,z'
loop_
_atom_site_label
_atom_site_type_symbol
_atom_site_fract_x
_atom_site_fract_y
_atom_site_fract_z
Li1 Li 0.327 0.173 0.500
Li2 Li 0.173 0.673 0.500
Li3 Li 0.673 0.827 0.500
Li4 Li 0.827 0.327 0.500
Zn1 Zn 0.384 0.884 0.000
Zn2 Zn 0.616 0.116 0.000
Zn3 Zn 0.116 0.384 0.000
Zn4 Zn 0.884 0.616 0.000
La1 La 0.000 0.000 0.000
La2 La 0.500 0.500 0.000
# **Total magnetization**: 0.4 Bohr magnetons per cell
# **Space group**: No. 127
# **D(E_F)**: 0.746 states/eV per atom


<b>
# Li2LaZn2 PBE relaxed
data_Li2LaZn2
_chemical_formula_sum 'Li4 La2 Zn4'
_symmetry_space_group_name_H-M 'P 1'
_symmetry_Int_Tables_number 1
_cell_length_a 4.644
_cell_length_b 3.603
_cell_length_c 13.266
_cell_angle_alpha 97.80
_cell_angle_beta 100.08
_cell_angle_gamma 90.00
loop_
_symmetry_equiv_pos_as_xyz
'x,y,z'
loop_
_atom_site_label
_atom_site_type_symbol
_atom_site_fract_x
_atom_site_fract_y
_atom_site_fract_z
Zn1 Zn 0.725 0.975 0.450
Zn2 Zn 0.620 0.870 0.239
Zn3 Zn 0.380 0.130 0.761
Zn4 Zn 0.275 0.025 0.550
Li1 Li 0.051 0.801 0.103
Li2 Li 0.544 0.294 0.089
Li3 Li 0.456 0.706 0.911
Li4 Li 0.949 0.199 0.897
La1 La 0.172 0.422 0.344
La2 La 0.828 0.578 0.656
# **Total magnetization**: 0.0 Bohr magnetons per cell
# **Space group**: No. 74
# **D(E_F)**: 0.810 states/eV per atom


Which structure wins on stability? <b> wins.